Material: KRb2Te3
Method: DFT, PBE-GGA
State: relaxed

Unit cell a=10.3492 b=10.3492 c=6.2137 alpha=90.00 beta=90.00 gamma=57.84
Sites, in units of the cell vectors:
1 K 0.1690 0.8310 0.7500
2 K 0.8310 0.1690 0.2500
3 Rb 0.1480 0.4902 0.2500
4 Rb 0.4902 0.1480 0.7500
5 Rb 0.5098 0.8520 0.2500
6 Rb 0.8520 0.5098 0.7500
7 Te 0.1571 0.1571 0.0000
8 Te 0.1571 0.1571 0.5000
9 Te 0.4642 0.5358 0.2500
10 Te 0.5358 0.4642 0.7500
11 Te 0.8429 0.8429 0.0000
12 Te 0.8429 0.8429 0.5000

Formation energy (no corrections) = -790 meV/atom
V = 46.95 Å³ per atom
Space group = Cmcm
Mass density = 3.49 g/cm3
Total moment = 0.000 μB/cell